Entry 1:
Here is crystalline Tl2AsRu at its relaxed geometry from the Alexandria database. Energies are from PBEsol.

a b c (Å): 10.0910 3.1510 6.2073
angles (deg): 90.00 116.77 90.00
Atoms (fractional coordinates):
Tl 0.0000 0.0000 0.0000
Tl 0.1580 0.0000 0.6238
Tl 0.5000 0.5000 0.0000
Tl 0.6580 0.5000 0.6238
As 0.3202 0.5000 0.2507
As 0.8202 0.0000 0.2507
Ru 0.4105 0.0000 0.5723
Ru 0.9105 0.5000 0.5723

Crystal system: monoclinic
Symmetry: No. 8
Polymorph energy (0 for the lowest one) (meV per atom): 75

=====

Entry 2:
Here is crystalline TlAsRu2 at its relaxed geometry from the Alexandria database. Energies are from PBEsol.

a b c (Å): 7.1661 2.9652 7.2436
angles (deg): 90.00 110.13 90.00
Atoms (fractional coordinates):
Tl 0.0000 0.0000 0.0000
Tl 0.5000 0.5000 0.0000
As 0.0000 0.5000 0.5000
As 0.5000 0.0000 0.5000
Ru 0.2259 0.5000 0.3269
Ru 0.2741 0.0000 0.6731
Ru 0.7259 0.0000 0.3269
Ru 0.7741 0.5000 0.6731

Crystal system: monoclinic
Symmetry: No. 12
Polymorph energy (0 for the lowest one) (meV per atom): 0

=====

Entry 3:
Here is crystalline U4As6Ru7 at its relaxed geometry from the Alexandria database. Energies are from PBEsol.

a b c (Å): 7.1214 7.1214 7.1214
angles (deg): 109.47 109.47 109.47
Atoms (fractional coordinates):
U 0.0000 0.0000 0.5000
U 0.0000 0.5000 0.0000
U 0.5000 0.0000 0.0000
U 0.5000 0.5000 0.5000
As 0.0000 0.3080 0.3080
As 0.0000 0.6920 0.6920
As 0.3080 0.0000 0.3080
As 0.3080 0.3080 0.0000
As 0.6920 0.0000 0.6920
As 0.6920 0.6920 0.0000
Ru 0.0000 0.0000 0.0000
Ru 0.2500 0.5000 0.7500
Ru 0.2500 0.7500 0.5000
Ru 0.5000 0.2500 0.7500
Ru 0.5000 0.7500 0.2500
Ru 0.7500 0.2500 0.5000
Ru 0.7500 0.5000 0.2500

Crystal system: cubic
Symmetry: No. 229

=====

Entry 4:
Here is crystalline As2RuW at its relaxed geometry from the Alexandria database. Energies are from PBEsol.

a b c (Å): 5.9098 8.0653 2.8956
angles (deg): 90.00 117.17 90.00
Atoms (fractional coordinates):
As 0.2500 0.2500 0.0000
As 0.2500 0.7500 0.0000
As 0.7500 0.2500 0.0000
As 0.7500 0.7500 0.0000
Ru 0.0000 0.0000 0.5000
Ru 0.5000 0.5000 0.5000
W 0.0000 0.5000 0.5000
W 0.5000 0.0000 0.5000

Crystal system: monoclinic
Symmetry: No. 12

=====

Number 1: total DFT energy (no corrections) -0.18188 hartree per atom. Number 2: total DFT energy (no corrections) -0.24972 hartree per atom. Number 3: total DFT energy (no corrections) -0.34433 hartree per atom. Number 4: total DFT energy (no corrections) -0.29924 hartree per atom.